{
  "formula": "CuHOs3",
  "functional": "GGA-PBE",
  "state": "optimized geometry",
  "lattice_angstrom": [[4.471, 0.000, 0.000], [0.000, 4.471, 0.000], [0.000, 0.000, 4.471]],
  "species": ["Cu", "H", "Os", "Os", "Os"],
  "fractional_positions": [[0.000, 0.000, 0.000], [0.500, 0.500, 0.500], [0.000, 0.000, 0.500], [0.000, 0.500, 0.000], [0.500, 0.000, 0.000]],
  "magmom_total_mub_per_atom": 0.716,
  "volume_a3_per_atom": 17.874,
  "dos_ef_per_ev_cell": 8.72,
  "rho_g_cm3": 11.80,
  "relative_energy_ev_per_atom": 2.362
}